[1]
The following is a DFT calculation (PBE) of a geometry-optimized Ba6InGe2 structure.

Output
- space-group type = Immm (71)
- size of the total moment (μB/cell) = 2.79
- calculated total energy (eV/atom) = -2.99

Cell: 10.092 10.092 10.092 Å, 107.12 108.60 112.74°
Element x y z (fractional)
Ba 0.812 0.243 0.054
Ba 0.892 0.719 0.173
Ba 0.546 0.719 0.827
Ba 0.188 0.757 0.946
Ba 0.188 0.243 0.431
Ba 0.675 0.013 0.337
Ba 0.325 0.987 0.663
Ba 0.108 0.281 0.827
Ba 0.325 0.662 0.337
Ba 0.454 0.281 0.173
Ba 0.812 0.757 0.569
Ba 0.675 0.338 0.663
In 0.000 0.500 0.500
In 0.000 0.000 0.000
Ge 0.321 0.000 0.321
Ge 0.500 0.609 0.109
Ge 0.679 0.000 0.679
Ge 0.500 0.391 0.891

[2]
The following is a DFT calculation (PBE) of a geometry-optimized BaInGe3 structure.

Output
- space-group type = Pm-3m (221)
- size of the total moment (μB/cell) = 0.00
- calculated total energy (eV/atom) = -3.49
- distance to the lowest polymorph of the same formula (kJ/mol of formula units) = 0

Cell: 5.373 5.373 5.373 Å, 90.00 90.00 90.00°
Element x y z (fractional)
Ge 0.000 0.500 0.000
Ge 0.500 0.000 0.000
Ge 0.000 0.000 0.500
In 0.000 0.000 0.000
Ba 0.500 0.500 0.500